1.
Material: ZrVBi2Cl
Method: DFT, GGA-PBE
State: relaxed

Cell: 5.2130 5.2130 4.9711 Å, 90.00 90.00 90.00°
Atoms (fractional coordinates):
Zr 0.0000 0.0000 0.0000
V 0.0000 0.0000 0.5000
Bi 0.0000 0.5000 0.5000
Bi 0.5000 0.0000 0.5000
Cl 0.5000 0.5000 0.0000

spin magnetization = 0.000 μB/atom
Fermi-level density of states = 3.13 states/eV per cell
formation energy from raw total energies = 0.2202 eV per atom



2.
Material: Li3Ge2Pd2
Method: DFT, GGA-PBE
State: relaxed

Cell: 4.3734 4.3734 6.8081 Å, 107.89 107.89 59.68°
Atoms (fractional coordinates):
Li 0.0000 0.0000 0.0000
Li 0.1350 0.1350 0.4089
Li 0.8650 0.8650 0.5911
Ge 0.2730 0.2730 0.8178
Ge 0.7270 0.7270 0.1822
Pd 0.4084 0.4084 0.2257
Pd 0.5916 0.5916 0.7743

DFT formation energy = -0.520 eV/atom
spin magnetization = 0.000 μB/atom
Fermi-level density of states = 2.60 states/eV per cell



E_tot values (in eV/atom) by entry order: -5.23; -4.14.